DFT (PBE) results for a relaxed Pu2PdPt crystal.

It has space group P4/mmm (No. 123), with a = 3.772 Å, b = 3.772 Å, c = 5.981 Å, α = 90.00°, β = 90.00° and γ = 90.00°. Symmetry generates all atoms from Pu at (0.000, 0.000, 0.247), Pd at (0.500, 0.500, 0.500) and Pt at (0.500, 0.500, 0.000).

Its calculated formation energy is -2.28 eV per formula unit. The crystal system is tetragonal.